[1]
Density functional theory data (GGA-PBE) for an optimized crystal structure of MnAl6Cu5.

```
data_MnAl6Cu5
_cell_length_a 7.2775
_cell_length_b 7.2775
_cell_length_c 4.1308
_cell_angle_alpha 106.40
_cell_angle_beta 106.40
_cell_angle_gamma 49.44
_space_group_name_H-M_alt 'P 1'
_space_group_IT_number 1
_space_group_name_Hall 'P 1'
loop_
_atom_site_label
_atom_site_type_symbol
_atom_site_fract_x
_atom_site_fract_y
_atom_site_fract_z
Mn1 Mn 0.0000 0.0000 0.0000
Al1 Al 0.0832 0.5885 0.8357
Al2 Al 0.2449 0.7551 0.5000
Al3 Al 0.4115 0.9168 0.1643
Al4 Al 0.5885 0.0832 0.8357
Al5 Al 0.7551 0.2449 0.5000
Al6 Al 0.9168 0.4115 0.1643
Cu1 Cu 0.1677 0.1677 0.6679
Cu2 Cu 0.3320 0.3320 0.3318
Cu3 Cu 0.5000 0.5000 0.0000
Cu4 Cu 0.6680 0.6680 0.6682
Cu5 Cu 0.8323 0.8323 0.3321
```

Values from the calculation:
DFT formation energy   -2.5 eV/f.u.
Density of states at the Fermi level   4.17 states/eV per cell
SG   C2/m

***

[2]
Density functional theory data (GGA-PBE) for an optimized crystal structure of CsNaBi2.

```
data_CsNaBi2
_cell_length_a 8.4716
_cell_length_b 8.4716
_cell_length_c 8.4716
_cell_angle_alpha 90.00
_cell_angle_beta 90.00
_cell_angle_gamma 90.00
_space_group_name_H-M_alt 'P 1'
_space_group_IT_number 1
_space_group_name_Hall 'P 1'
loop_
_atom_site_label
_atom_site_type_symbol
_atom_site_fract_x
_atom_site_fract_y
_atom_site_fract_z
Cs1 Cs 0.0000 0.0000 0.0000
Cs2 Cs 0.0000 0.5000 0.5000
Cs3 Cs 0.5000 0.0000 0.5000
Cs4 Cs 0.5000 0.5000 0.0000
Na1 Na 0.0000 0.0000 0.5000
Na2 Na 0.0000 0.5000 0.0000
Na3 Na 0.5000 0.0000 0.0000
Na4 Na 0.5000 0.5000 0.5000
Bi1 Bi 0.2500 0.2500 0.2500
Bi2 Bi 0.2500 0.2500 0.7500
Bi3 Bi 0.2500 0.7500 0.2500
Bi4 Bi 0.2500 0.7500 0.7500
Bi5 Bi 0.7500 0.2500 0.2500
Bi6 Bi 0.7500 0.2500 0.7500
Bi7 Bi 0.7500 0.7500 0.2500
Bi8 Bi 0.7500 0.7500 0.7500
```

Values from the calculation:
DFT formation energy   0.1 eV/f.u.
Density of states at the Fermi level   12.09 states/eV per cell
SG   Fm-3m
Energy relative to the lowest polymorph listed for this composition   0.2898 eV per atom

***

[3]
Density functional theory data (GGA-PBE) for an optimized crystal structure of LaCu2SnF.

```
data_LaCu2SnF
_cell_length_a 4.6673
_cell_length_b 4.6673
_cell_length_c 4.7948
_cell_angle_alpha 90.00
_cell_angle_beta 90.00
_cell_angle_gamma 90.00
_space_group_name_H-M_alt 'P 1'
_space_group_IT_number 1
_space_group_name_Hall 'P 1'
loop_
_atom_site_label
_atom_site_type_symbol
_atom_site_fract_x
_atom_site_fract_y
_atom_site_fract_z
La1 La 0.0000 0.0000 0.0000
Cu1 Cu 0.0000 0.5000 0.5000
Cu2 Cu 0.5000 0.0000 0.5000
Sn1 Sn 0.5000 0.5000 0.0000
F1 F 0.5000 0.5000 0.5000
```

Values from the calculation:
ΔE_f (raw)   -0.2893 eV per atom
Density of states at the Fermi level   6.19 states/eV per cell
SG   P4/mmm
Energy relative to the lowest polymorph listed for this composition   0.2358 eV per atom

***

[4]
Density functional theory data (GGA-PBE) for an optimized crystal structure of SrLaCdGa.

```
data_SrLaCdGa
_cell_length_a 7.8231
_cell_length_b 7.8231
_cell_length_c 7.8231
_cell_angle_alpha 90.00
_cell_angle_beta 90.00
_cell_angle_gamma 90.00
_space_group_name_H-M_alt 'P 1'
_space_group_IT_number 1
_space_group_name_Hall 'P 1'
loop_
_atom_site_label
_atom_site_type_symbol
_atom_site_fract_x
_atom_site_fract_y
_atom_site_fract_z
Sr1 Sr 0.0000 0.0000 0.0000
Sr2 Sr 0.0000 0.5000 0.5000
Sr3 Sr 0.5000 0.0000 0.5000
Sr4 Sr 0.5000 0.5000 0.0000
La1 La 0.0000 0.0000 0.5000
La2 La 0.0000 0.5000 0.0000
La3 La 0.5000 0.0000 0.0000
La4 La 0.5000 0.5000 0.5000
Cd1 Cd 0.2500 0.2500 0.7500
Cd2 Cd 0.2500 0.7500 0.2500
Cd3 Cd 0.7500 0.2500 0.2500
Cd4 Cd 0.7500 0.7500 0.7500
Ga1 Ga 0.2500 0.2500 0.2500
Ga2 Ga 0.2500 0.7500 0.7500
Ga3 Ga 0.7500 0.2500 0.7500
Ga4 Ga 0.7500 0.7500 0.2500
```

Values from the calculation:
DFT formation energy   -1.6 eV/f.u.
Density of states at the Fermi level   9.57 states/eV per cell
SG   F-43m

***

[5]
Density functional theory data (GGA-PBE) for an optimized crystal structure of TlTcAs2Se.

```
data_TlTcAs2Se
_cell_length_a 4.7295
_cell_length_b 4.7295
_cell_length_c 5.6013
_cell_angle_alpha 90.00
_cell_angle_beta 90.00
_cell_angle_gamma 90.00
_space_group_name_H-M_alt 'P 1'
_space_group_IT_number 1
_space_group_name_Hall 'P 1'
loop_
_atom_site_label
_atom_site_type_symbol
_atom_site_fract_x
_atom_site_fract_y
_atom_site_fract_z
Tl1 Tl 0.0000 0.0000 0.0000
Tc1 Tc 0.5000 0.5000 0.5000
As1 As 0.0000 0.5000 0.5000
As2 As 0.5000 0.0000 0.5000
Se1 Se 0.5000 0.5000 0.0000
```

Values from the calculation:
ΔE_f (raw)   0.2337 eV per atom
Density of states at the Fermi level   4.49 states/eV per cell
SG   P4/mmm
Energy relative to the lowest polymorph listed for this composition   0.0000 eV per atom

***

[6]
Density functional theory data (GGA-PBE) for an optimized crystal structure of TlC.

```
data_TlC
_cell_length_a 3.2365
_cell_length_b 3.2365
_cell_length_c 3.2365
_cell_angle_alpha 90.00
_cell_angle_beta 90.00
_cell_angle_gamma 90.00
_space_group_name_H-M_alt 'P 1'
_space_group_IT_number 1
_space_group_name_Hall 'P 1'
loop_
_atom_site_label
_atom_site_type_symbol
_atom_site_fract_x
_atom_site_fract_y
_atom_site_fract_z
Tl1 Tl 0.0000 0.0000 0.0000
C1 C 0.5000 0.5000 0.5000
```

Values from the calculation:
DFT formation energy   5.1 eV/f.u.
Density of states at the Fermi level   1.73 states/eV per cell
SG   Pm-3m
Energy relative to the lowest polymorph listed for this composition   1.7639 eV per atom

***

[7]
Density functional theory data (GGA-PBE) for an optimized crystal structure of Nd2Zn5AgRu2.

```
data_Nd2Zn5AgRu2
_cell_length_a 10.2842
_cell_length_b 10.2842
_cell_length_c 3.5191
_cell_angle_alpha 90.00
_cell_angle_beta 90.00
_cell_angle_gamma 90.00
_space_group_name_H-M_alt 'P 1'
_space_group_IT_number 1
_space_group_name_Hall 'P 1'
loop_
_atom_site_label
_atom_site_type_symbol
_atom_site_fract_x
_atom_site_fract_y
_atom_site_fract_z
Nd1 Nd 0.1820 0.3180 0.0000
Nd2 Nd 0.3180 0.8180 0.0000
Nd3 Nd 0.6820 0.1820 0.0000
Nd4 Nd 0.8180 0.6820 0.0000
Zn1 Zn 0.0000 0.5000 0.5000
Zn2 Zn 0.0527 0.8024 0.5000
Zn3 Zn 0.1976 0.0527 0.5000
Zn4 Zn 0.3024 0.5527 0.5000
Zn5 Zn 0.4473 0.3024 0.5000
Zn6 Zn 0.5000 0.0000 0.5000
Zn7 Zn 0.5527 0.6976 0.5000
Zn8 Zn 0.6976 0.4473 0.5000
Zn9 Zn 0.8024 0.9473 0.5000
Zn10 Zn 0.9473 0.1976 0.5000
Ag1 Ag 0.0000 0.0000 0.0000
Ag2 Ag 0.5000 0.5000 0.0000
Ru1 Ru 0.1286 0.6286 0.0000
Ru2 Ru 0.3714 0.1286 0.0000
Ru3 Ru 0.6286 0.8714 0.0000
Ru4 Ru 0.8714 0.3714 0.0000
```

Values from the calculation:
DFT formation energy   -1.4 eV/f.u.
Density of states at the Fermi level   11.41 states/eV per cell
SG   P4/mbm

***

[8]
Density functional theory data (GGA-PBE) for an optimized crystal structure of Tb4Dy15Th.

```
data_Tb4Dy15Th
_cell_length_a 5.0269
_cell_length_b 5.0269
_cell_length_c 25.0226
_cell_angle_alpha 90.00
_cell_angle_beta 90.00
_cell_angle_gamma 90.00
_space_group_name_H-M_alt 'P 1'
_space_group_IT_number 1
_space_group_name_Hall 'P 1'
loop_
_atom_site_label
_atom_site_type_symbol
_atom_site_fract_x
_atom_site_fract_y
_atom_site_fract_z
Tb1 Tb 0.0000 0.0000 0.1000
Tb2 Tb 0.0000 0.0000 0.3002
Tb3 Tb 0.0000 0.0000 0.6998
Tb4 Tb 0.0000 0.0000 0.9000
Dy1 Dy 0.0000 0.5000 0.0000
Dy2 Dy 0.0000 0.5000 0.2002
Dy3 Dy 0.0000 0.5000 0.4011
Dy4 Dy 0.0000 0.5000 0.5989
Dy5 Dy 0.0000 0.5000 0.7998
Dy6 Dy 0.5000 0.0000 0.0000
Dy7 Dy 0.5000 0.0000 0.2002
Dy8 Dy 0.5000 0.0000 0.4011
Dy9 Dy 0.5000 0.0000 0.5989
Dy10 Dy 0.5000 0.0000 0.7998
Dy11 Dy 0.5000 0.5000 0.1001
Dy12 Dy 0.5000 0.5000 0.2993
Dy13 Dy 0.5000 0.5000 0.5000
Dy14 Dy 0.5000 0.5000 0.7007
Dy15 Dy 0.5000 0.5000 0.8999
Th1 Th 0.0000 0.0000 0.5000
```

Values from the calculation:
DFT formation energy   0.4 eV/f.u.
Density of states at the Fermi level   26.82 states/eV per cell
SG   P4/mmm

***

[9]
Density functional theory data (GGA-PBE) for an optimized crystal structure of V2FeH.

```
data_V2FeH
_cell_length_a 2.6538
_cell_length_b 2.6538
_cell_length_c 19.1992
_cell_angle_alpha 90.00
_cell_angle_beta 90.00
_cell_angle_gamma 120.00
_space_group_name_H-M_alt 'P 1'
_space_group_IT_number 1
_space_group_name_Hall 'P 1'
loop_
_atom_site_label
_atom_site_type_symbol
_atom_site_fract_x
_atom_site_fract_y
_atom_site_fract_z
V1 V 0.0000 0.0000 0.2304
V2 V 0.0000 0.0000 0.7696
V3 V 0.3333 0.6667 0.4362
V4 V 0.3333 0.6667 0.8971
V5 V 0.6667 0.3333 0.1029
V6 V 0.6667 0.3333 0.5638
Fe1 Fe 0.0000 0.0000 0.0000
Fe2 Fe 0.3333 0.6667 0.6667
Fe3 Fe 0.6667 0.3333 0.3333
H1 H 0.0000 0.0000 0.5000
H2 H 0.3333 0.6667 0.1667
H3 H 0.6667 0.3333 0.8333
```

Values from the calculation:
Density of states at the Fermi level   12.09 states/eV per cell
SG   R-3m
Energy relative to the lowest polymorph listed for this composition   0.0365 eV per atom

***

[10]
Density functional theory data (GGA-PBE) for an optimized crystal structure of Bi2SbH2.

```
data_Bi2SbH2
_cell_length_a 6.7493
_cell_length_b 6.7493
_cell_length_c 4.7305
_cell_angle_alpha 90.00
_cell_angle_beta 90.00
_cell_angle_gamma 90.00
_space_group_name_H-M_alt 'P 1'
_space_group_IT_number 1
_space_group_name_Hall 'P 1'
loop_
_atom_site_label
_atom_site_type_symbol
_atom_site_fract_x
_atom_site_fract_y
_atom_site_fract_z
Bi1 Bi 0.1903 0.3097 0.0000
Bi2 Bi 0.3097 0.8097 0.0000
Bi3 Bi 0.6903 0.1903 0.0000
Bi4 Bi 0.8097 0.6903 0.0000
Sb1 Sb 0.0000 0.0000 0.5000
Sb2 Sb 0.5000 0.5000 0.5000
H1 H 0.2051 0.2949 0.5000
H2 H 0.2949 0.7949 0.5000
H3 H 0.7051 0.2051 0.5000
H4 H 0.7949 0.7051 0.5000
```

Values from the calculation:
Density of states at the Fermi level   3.97 states/eV per cell
SG   P4/mbm
Energy relative to the lowest polymorph listed for this composition   0.0527 eV per atom

***

[11]
Density functional theory data (GGA-PBE) for an optimized crystal structure of Ac3Si4Pd4.

```
data_Ac3Si4Pd4
_cell_length_a 12.8996
_cell_length_b 12.8996
_cell_length_c 12.8996
_cell_angle_alpha 160.41
_cell_angle_beta 160.38
_cell_angle_gamma 27.86
_space_group_name_H-M_alt 'P 1'
_space_group_IT_number 1
_space_group_name_Hall 'P 1'
loop_
_atom_site_label
_atom_site_type_symbol
_atom_site_fract_x
_atom_site_fract_y
_atom_site_fract_z
Ac1 Ac 0.0000 0.0000 0.0000
Ac2 Ac 0.1476 0.6476 0.5000
Ac3 Ac 0.8524 0.3524 0.5000
Si1 Si 0.2997 0.7997 0.5000
Si2 Si 0.4516 0.4516 0.0000
Si3 Si 0.5484 0.5484 0.0000
Si4 Si 0.7003 0.2003 0.5000
Pd1 Pd 0.2486 0.2486 0.0000
Pd2 Pd 0.4011 0.9011 0.5000
Pd3 Pd 0.5989 0.0989 0.5000
Pd4 Pd 0.7514 0.7514 0.0000
```

Values from the calculation:
ΔE_f (raw)   -0.8839 eV per atom
Density of states at the Fermi level   6.92 states/eV per cell
SG   Immm

***

[12]
Density functional theory data (GGA-PBE) for an optimized crystal structure of YZn6O6.

```
data_YZn6O6
_cell_length_a 5.7998
_cell_length_b 5.7998
_cell_length_c 5.7998
_cell_angle_alpha 90.00
_cell_angle_beta 90.00
_cell_angle_gamma 90.00
_space_group_name_H-M_alt 'P 1'
_space_group_IT_number 1
_space_group_name_Hall 'P 1'
loop_
_atom_site_label
_atom_site_type_symbol
_atom_site_fract_x
_atom_site_fract_y
_atom_site_fract_z
Y1 Y 0.0000 0.0000 0.0000
Zn1 Zn 0.0000 0.2603 0.5000
Zn2 Zn 0.0000 0.7397 0.5000
Zn3 Zn 0.2603 0.5000 0.0000
Zn4 Zn 0.5000 0.0000 0.2603
Zn5 Zn 0.5000 0.0000 0.7397
Zn6 Zn 0.7397 0.5000 0.0000
O1 O 0.0000 0.5000 0.2417
O2 O 0.0000 0.5000 0.7583
O3 O 0.2417 0.0000 0.5000
O4 O 0.5000 0.2417 0.0000
O5 O 0.5000 0.7583 0.0000
O6 O 0.7583 0.0000 0.5000
```

Values from the calculation:
ΔE_f (raw)   -1.0483 eV per atom
Density of states at the Fermi level   5.84 states/eV per cell
SG   Pm-3